Record 1
Th2ZrPa | PBE-GGA | relaxed

Unit cell a=12.2347 b=12.2347 c=12.2347 alpha=15.47 beta=15.47 gamma=15.47
Sites, in units of the cell vectors:
Th1 0.0848 0.0848 0.0848
Th2 0.9152 0.9152 0.9152
Zr1 0.0000 0.0000 0.0000
Pa1 0.5000 0.5000 0.5000

Results
* space group: R-3m (166)
* relative energy among the computed polymorphs: 249 meV/atom

***

Record 2
KCd2AgAu4 | PBE-GGA | relaxed

Unit cell a=10.2589 b=10.2589 c=10.2589 alpha=26.54 beta=26.54 gamma=26.54
Sites, in units of the cell vectors:
K1 0.0000 0.0000 0.0000
Cd1 0.2354 0.2354 0.2354
Cd2 0.7647 0.7647 0.7647
Ag1 0.5000 0.5000 0.5000
Au1 0.1282 0.1282 0.1282
Au2 0.4067 0.4067 0.4067
Au3 0.5933 0.5933 0.5933
Au4 0.8718 0.8718 0.8718

Results
* space group: R-3m (166)
* VASP energy: -2.467 eV per atom

***

Record 3
ScCuOs2 | PBE-GGA | relaxed

Unit cell a=2.7568 b=2.7568 c=7.9386 alpha=90.00 beta=90.00 gamma=90.00
Sites, in units of the cell vectors:
Sc1 0.0000 0.0000 0.0000
Cu1 0.0000 0.0000 0.5000
Os1 0.5000 0.5000 0.2724
Os2 0.5000 0.5000 0.7276

Results
* space group: P4/mmm (123)
* relative energy among the computed polymorphs: 313 meV/atom

***

Record 4
USn2P2Rh7 | PBE-GGA | relaxed

Unit cell a=3.9098 b=3.9098 c=13.8269 alpha=95.67 beta=95.67 gamma=89.83
Sites, in units of the cell vectors:
U1 0.0000 0.0000 0.0000
Sn1 0.1159 0.1159 0.3951
Sn2 0.8841 0.8841 0.6049
P1 0.4141 0.4141 0.7529
P2 0.5859 0.5859 0.2471
Rh1 0.0535 0.5538 0.1528
Rh2 0.3729 0.3729 0.5845
Rh3 0.4462 0.9465 0.8472
Rh4 0.5000 0.5000 0.0000
Rh5 0.5538 0.0535 0.1528
Rh6 0.6271 0.6271 0.4155
Rh7 0.9465 0.4462 0.8472

Results
* space group: C2/m (12)
* VASP energy: -7.304 eV per atom